# 1
TlIn2GeRh | Alexandria | PBE | relaxed; space group = P4/mmm (123); formation enthalpy at 0 K = -0.0627 eV per atom; DFT total energy = -20.13 eV/cell; N(E_F) = 2.52 states/eV/cell
1.0
-4.657 -1.318 1.979
2.376 -2.383 4.002
-0.097 4.046 2.467
Tl Rh Ge In
1 1 1 2
Direct
0.500 0.500 0.500 Tl
0.000 0.000 0.000 Rh
0.000 0.000 0.500 Ge
0.000 0.500 0.000 In
0.500 0.000 0.000 In

=====

# 2
Si2MoIr | Alexandria | PBE | relaxed; space group = P4mm (99); ΔE_f (raw) = -0.069 eV/atom; DFT total energy = -30.82 eV/cell; N(E_F) = 1.50 states/eV/cell
1.0
-1.250 -1.632 -1.834
2.147 0.270 -1.705
3.371 -6.239 3.256
Ir Mo Si
1 1 2
Direct
0.000 0.000 0.492 Ir
0.500 0.500 0.742 Mo
0.000 0.000 0.988 Si
0.500 0.500 0.278 Si

=====

# 3
Dy4ScAl | Alexandria | PBE | relaxed; space group = C2/m (12); formation enthalpy at 0 K = 0.3587 eV per atom; DFT total energy = -26.33 eV/cell; N(E_F) = 9.60 states/eV/cell; distance to the lowest polymorph of the same formula = 2.26 eV per formula unit
1.0
-0.243 0.974 4.926
4.189 -0.125 2.797
2.649 8.814 0.954
Dy Sc Al
4 1 1
Direct
0.620 0.618 0.141 Dy
0.380 0.382 0.859 Dy
0.126 0.126 0.623 Dy
0.874 0.874 0.377 Dy
0.000 0.000 0.000 Sc
0.500 0.500 0.500 Al

=====

# 4
TbNd3Tl2 | Alexandria | PBE | relaxed; space group = C2/m (12); formation enthalpy at 0 K = -0.1818 eV per atom; DFT total energy = -49.51 eV/cell; N(E_F) = 12.42 states/eV/cell; distance to the lowest polymorph of the same formula = 0.53 eV per formula unit
1.0
5.075 0.000 0.000
-2.537 8.248 -0.741
0.000 -4.156 9.475
Tb Nd Tl
2 6 4
Direct
0.882 0.763 0.934 Tb
0.118 0.237 0.066 Tb
0.289 0.577 0.620 Nd
0.958 0.916 0.639 Nd
0.633 0.266 0.673 Nd
0.367 0.734 0.327 Nd
0.042 0.084 0.361 Nd
0.711 0.423 0.380 Nd
0.511 0.021 0.860 Tl
0.489 0.979 0.140 Tl
0.759 0.517 0.102 Tl
0.241 0.483 0.898 Tl

=====

# 5
NdPuGePd | Alexandria | PBE | relaxed; space group = F-43m (216); formation enthalpy at 0 K = -0.5102 eV per atom; DFT total energy = -30.95 eV/cell; N(E_F) = 10.82 states/eV/cell
1.0
-4.078 0.574 -3.038
-2.900 -4.048 -1.183
-4.716 -0.424 1.941
Ge Nd Pd Pu
1 1 1 1
Direct
0.250 0.250 0.250 Ge
0.500 0.500 0.500 Nd
0.750 0.750 0.750 Pd
0.000 0.000 0.000 Pu

=====

# 6
Sc2ReAu | Alexandria | PBE | relaxed; space group = P4mm (99); formation enthalpy at 0 K = 0.0935 eV per atom; DFT total energy = -28.01 eV/cell; N(E_F) = 6.69 states/eV/cell
1.0
-1.905 2.238 0.201
-1.826 -1.695 1.571
3.940 2.684 7.475
Au Re Sc
1 1 2
Direct
0.000 0.000 0.512 Au
0.500 0.500 0.741 Re
0.000 0.000 0.966 Sc
0.500 0.500 0.282 Sc

=====

# 7
MnAsIr2 | Alexandria | PBE | relaxed; space group = Amm2 (38); formation enthalpy at 0 K = 0.0072 eV per atom; DFT total energy = -31.51 eV/cell; N(E_F) = 4.33 states/eV/cell
1.0
3.893 0.000 0.000
0.000 2.820 0.000
0.000 1.412 5.318
As Ir Mn
1 2 1
Direct
0.500 0.952 0.720 As
0.000 0.813 0.000 Ir
0.500 0.182 0.262 Ir
0.000 0.554 0.518 Mn

=====

# 8
Ac2SmC2I2 | Alexandria | PBE | relaxed; space group = I4/mmm (139); ΔE_f (raw) = -0.500 eV/atom; DFT total energy = -37.98 eV/cell; N(E_F) = 2.09 states/eV/cell
1.0
-0.859 -4.367 -1.658
2.156 -1.866 3.799
-8.539 2.992 3.347
Ac Sm C I
2 1 2 2
Direct
0.408 0.408 0.815 Ac
0.592 0.592 0.185 Ac
0.000 0.000 0.000 Sm
0.000 0.500 0.000 C
0.500 0.000 0.000 C
0.182 0.182 0.364 I
0.818 0.818 0.636 I

=====

# 9
Tb6PrNd3Y2 | Alexandria | PBE | relaxed; space group = C2/m (12); formation enthalpy at 0 K = 0.0148 eV per atom; DFT total energy = -59.61 eV/cell; N(E_F) = 15.81 states/eV/cell
1.0
6.248 0.000 0.009
-3.122 5.412 0.009
-1.055 -1.827 11.756
Tb Pr Nd Y
6 1 3 2
Direct
0.917 0.583 0.751 Tb
0.750 0.750 0.249 Tb
0.083 0.417 0.249 Tb
0.583 0.917 0.751 Tb
0.250 0.250 0.751 Tb
0.417 0.083 0.249 Tb
0.000 0.000 0.000 Pr
0.167 0.833 0.500 Nd
0.833 0.167 0.500 Nd
0.500 0.500 0.500 Nd
0.333 0.667 0.000 Y
0.667 0.333 0.000 Y

=====

# 10
Nd2Cu2Ni3 | Alexandria | PBE | relaxed; space group = C2/m (12); formation enthalpy at 0 K = -0.1218 eV per atom; DFT total energy = -35.92 eV/cell; N(E_F) = 4.35 states/eV/cell; distance to the lowest polymorph of the same formula = 0.70 eV per formula unit
1.0
4.332 0.000 1.324
1.973 6.304 1.292
0.938 -0.545 4.681
Nd Cu Ni
2 2 3
Direct
0.568 0.191 0.672 Nd
0.432 0.809 0.328 Nd
0.799 0.383 0.019 Cu
0.201 0.617 0.981 Cu
0.000 0.000 0.000 Ni
0.839 0.669 0.653 Ni
0.161 0.331 0.347 Ni